First-principles (PBE) data for crystalline TeH2I at its relaxed geometry, as listed in the Alexandria database.

Values from the calculation:
- ΔE to the lowest computed polymorph: 206 meV/atom
- Density of states at the Fermi level: 4.11 states/eV per cell
- Density: 5007 kg/m³

The structure in CIF format:
```
data_TeH2I
_chemical_formula_sum 'Te2 H4 I2'
_cell_length_a 6.4955
_cell_length_b 6.4955
_cell_length_c 6.4955
_cell_angle_alpha 126.79
_cell_angle_beta 126.79
_cell_angle_gamma 78.59
_space_group_name_H-M_alt 'P 1'
_space_group_IT_number 1
loop_
_space_group_symop_operation_xyz
'x,y,z'
loop_
_atom_site_label
_atom_site_fract_x
_atom_site_fract_y
_atom_site_fract_z
Te1 0.3750 0.6250 0.7500
Te2 0.6250 0.3750 0.2500
H1 0.0000 0.5000 0.5000
H2 0.5000 0.0000 0.0000
H3 0.5000 0.5000 0.0000
H4 0.5000 0.5000 0.5000
I1 0.1250 0.8750 0.2500
I2 0.8750 0.1250 0.7500
```